# 1
Sc2TlRe: relaxed, PBE.

Output
Energy of formation: 0.216 eV per atom
Space group: Pmm2, No. 25

Cell lengths 3.0159, 4.5992, 5.9016 Å; angles 90.00, 90.00, 90.00 degrees
Fractional positions:
Re: 0.5000 0.5000 0.7938
Sc: 0.0000 0.0000 0.9647
Sc: 0.5000 0.5000 0.2574
Tl: 0.0000 0.0000 0.4841

***

# 2
FeH3Pt: relaxed, PBE.

Output
Energy above the most stable polymorph in this dataset: 55.2 meV/atom
Space group: Pm-3m, No. 221

Cell lengths 3.2921, 3.2921, 3.2921 Å; angles 90.00, 90.00, 90.00 degrees
Fractional positions:
H: 0.0000 0.5000 0.0000
H: 0.0000 0.0000 0.5000
H: 0.5000 0.0000 0.0000
Fe: 0.0000 0.0000 0.0000
Pt: 0.5000 0.5000 0.5000

***

# 3
AlTlPt2: relaxed, PBE.

Output
Energy of formation: -0.256 eV per atom
Energy above the most stable polymorph in this dataset: 270.9 meV/atom
Space group: I-42d, No. 122

Cell lengths 7.2708, 7.2708, 5.8749 Å; angles 51.77, 51.77, 90.00 degrees
Fractional positions:
Tl: 0.0000 0.0000 0.0000
Tl: 0.7500 0.2500 0.5000
Al: 0.5000 0.5000 0.0000
Al: 0.2500 0.7500 0.5000
Pt: 0.5787 0.1250 0.2500
Pt: 0.1713 0.6250 0.2500
Pt: 0.3750 0.4213 0.7500
Pt: 0.8750 0.8287 0.7500

***

# 4
GaGe2Te2Pd7: relaxed, PBE.

Output
Space group: I4/mmm, No. 139

Cell lengths 3.9505, 3.9505, 15.0605 Å; angles 82.45, 82.45, 90.04 degrees
Fractional positions:
Ga: 0.0000 0.0000 0.0000
Ge: 0.6181 0.6181 0.7640
Ge: 0.3819 0.3819 0.2360
Te: 0.7934 0.7934 0.4123
Te: 0.2066 0.2066 0.5877
Pd: 0.5000 0.5000 0.0000
Pd: 0.2986 0.2986 0.4020
Pd: 0.7014 0.7014 0.5980
Pd: 0.9334 0.4332 0.1330
Pd: 0.4332 0.9334 0.1330
Pd: 0.5668 0.0666 0.8670
Pd: 0.0666 0.5668 0.8670

***

Uncorrected energy, record by record: -6.653 -4.570 -4.804 -4.931 eV per atom